Record 1
{"formula": "NdSm2Se4", "functional": "GGA-PBE", "state": "relaxed", "formation_energy_uncorrected_ev_per_atom": -1.8319, "sg": "C2/m", "polymorph_energy_ev_per_atom": 0.031, "energy_ev_per_atom": -5.8525, "cell": [[7.759, -2.107, 0.000], [7.759, 2.107, 0.000], [-3.229, 0.000, 6.590]], "species": ["Nd", "Sm", "Sm", "Se", "Se", "Se", "Se"], "fractional_positions": [[0.000, 0.000, 0.000], [0.268, 0.268, 0.276], [0.732, 0.732, 0.724], [0.126, 0.126, 0.444], [0.361, 0.361, 0.001], [0.639, 0.639, 0.999], [0.874, 0.874, 0.556]]}

Record 2
{"formula": "NdSmSnSe", "functional": "GGA-PBE", "state": "relaxed", "formation_energy_uncorrected_ev_per_atom": -1.2981, "sg": "P4/mmm", "energy_ev_per_atom": -5.5416, "cell": [[4.363, 0.000, 0.000], [0.000, 4.363, 0.000], [0.000, 0.000, 6.192]], "species": ["Nd", "Sm", "Sn", "Se"], "fractional_positions": [[0.000, 0.000, 0.000], [0.500, 0.500, 0.500], [0.000, 0.000, 0.500], [0.500, 0.500, 0.000]]}

Record 3
{"formula": "Sr3NdSm2Se6", "functional": "GGA-PBE", "state": "relaxed", "formation_energy_uncorrected_ev_per_atom": -1.9145, "sg": "C2/m", "energy_ev_per_atom": -5.2611, "cell": [[3.699, -6.400, 0.000], [3.699, 6.400, 0.000], [-2.468, 0.000, 7.145]], "species": ["Sr", "Sr", "Sr", "Nd", "Sm", "Sm", "Se", "Se", "Se", "Se", "Se", "Se"], "fractional_positions": [[0.000, 0.000, 0.000], [0.334, 0.666, 0.000], [0.666, 0.334, 0.000], [0.500, 0.500, 0.500], [0.167, 0.833, 0.500], [0.833, 0.167, 0.500], [0.084, 0.420, 0.261], [0.243, 0.243, 0.738], [0.420, 0.084, 0.261], [0.580, 0.916, 0.739], [0.757, 0.757, 0.262], [0.916, 0.580, 0.739]]}

Record 4
{"formula": "Sr2NdSmSe4", "functional": "GGA-PBE", "state": "relaxed", "formation_energy_uncorrected_ev_per_atom": -1.9151, "sg": "P2/m", "energy_ev_per_atom": -5.2637, "cell": [[7.396, 0.000, 0.000], [0.000, 4.275, 0.000], [-2.470, 0.000, 7.159]], "species": ["Sr", "Sr", "Nd", "Sm", "Se", "Se", "Se", "Se"], "fractional_positions": [[0.000, 0.000, 0.000], [0.500, 0.500, 0.000], [0.000, 0.500, 0.500], [0.500, 0.000, 0.500], [0.249, 0.000, 0.740], [0.256, 0.500, 0.261], [0.744, 0.500, 0.739], [0.751, 0.000, 0.260]]}

Record 5
{"formula": "SrNdSm2Se4", "functional": "GGA-PBE", "state": "relaxed", "formation_energy_uncorrected_ev_per_atom": -1.8605, "sg": "P2/m", "energy_ev_per_atom": -5.5887, "cell": [[7.358, 0.000, 0.000], [0.000, 4.217, 0.000], [-2.406, 0.000, 6.961]], "species": ["Sr", "Nd", "Sm", "Sm", "Se", "Se", "Se", "Se"], "fractional_positions": [[0.000, 0.000, 0.000], [0.000, 0.500, 0.500], [0.500, 0.000, 0.500], [0.500, 0.500, 0.000], [0.256, 0.000, 0.750], [0.259, 0.500, 0.256], [0.741, 0.500, 0.744], [0.744, 0.000, 0.250]]}

Record 6
{"formula": "SrNdSm4Se8", "functional": "GGA-PBE", "state": "relaxed", "formation_energy_uncorrected_ev_per_atom": -1.8017, "sg": "R3m", "energy_ev_per_atom": -5.6019, "cell": [[4.345, 2.509, 7.130], [-4.345, 2.509, 7.130], [0.000, -5.017, 7.130]], "species": ["Sr", "Nd", "Sm", "Sm", "Sm", "Sm", "Se", "Se", "Se", "Se", "Se", "Se", "Se", "Se"], "fractional_positions": [[0.000, 0.000, 0.000], [0.628, 0.628, 0.628], [0.120, 0.627, 0.627], [0.251, 0.251, 0.251], [0.627, 0.120, 0.627], [0.627, 0.627, 0.120], [0.382, 0.382, 0.854], [0.382, 0.854, 0.382], [0.384, 0.384, 0.384], [0.412, 0.865, 0.865], [0.854, 0.382, 0.382], [0.863, 0.863, 0.863], [0.865, 0.412, 0.865], [0.865, 0.865, 0.412]]}

Record 7
{"formula": "SrNd4SmSe8", "functional": "GGA-PBE", "state": "relaxed", "formation_energy_uncorrected_ev_per_atom": -1.8026, "sg": "R3m", "energy_ev_per_atom": -5.6132, "cell": [[4.386, 2.532, 7.132], [-4.386, 2.532, 7.132], [0.000, -5.064, 7.132]], "species": ["Sr", "Nd", "Nd", "Nd", "Nd", "Sm", "Se", "Se", "Se", "Se", "Se", "Se", "Se", "Se"], "fractional_positions": [[0.000, 0.000, 0.000], [0.119, 0.626, 0.626], [0.249, 0.249, 0.249], [0.626, 0.119, 0.626], [0.626, 0.626, 0.119], [0.626, 0.626, 0.626], [0.382, 0.382, 0.382], [0.384, 0.384, 0.850], [0.384, 0.850, 0.384], [0.411, 0.861, 0.861], [0.850, 0.384, 0.384], [0.861, 0.411, 0.861], [0.861, 0.861, 0.411], [0.863, 0.863, 0.863]]}

Record 8
{"formula": "SrNd4Sm3Se8", "functional": "GGA-PBE", "state": "relaxed", "formation_energy_uncorrected_ev_per_atom": -1.8390, "sg": "R-3m", "energy_ev_per_atom": -5.7632, "cell": [[4.225, 2.439, 6.920], [-4.225, 2.439, 6.920], [0.000, -4.879, 6.920]], "species": ["Sr", "Nd", "Nd", "Nd", "Nd", "Sm", "Sm", "Sm", "Se", "Se", "Se", "Se", "Se", "Se", "Se", "Se"], "fractional_positions": [[0.000, 0.000, 0.000], [0.000, 0.000, 0.500], [0.000, 0.500, 0.000], [0.500, 0.000, 0.000], [0.500, 0.500, 0.500], [0.000, 0.500, 0.500], [0.500, 0.000, 0.500], [0.500, 0.500, 0.000], [0.251, 0.251, 0.745], [0.251, 0.745, 0.251], [0.252, 0.252, 0.252], [0.255, 0.749, 0.749], [0.745, 0.251, 0.251], [0.748, 0.748, 0.748], [0.749, 0.255, 0.749], [0.749, 0.749, 0.255]]}

Record 9
{"formula": "Sr3Nd2SmSe6", "functional": "GGA-PBE", "state": "relaxed", "formation_energy_uncorrected_ev_per_atom": -1.9177, "sg": "C2/m", "energy_ev_per_atom": -5.2683, "cell": [[3.707, -6.416, 0.000], [3.707, 6.416, 0.000], [-2.473, 0.000, 7.161]], "species": ["Sr", "Sr", "Sr", "Nd", "Nd", "Sm", "Se", "Se", "Se", "Se", "Se", "Se"], "fractional_positions": [[0.000, 0.000, 0.000], [0.332, 0.668, 0.000], [0.668, 0.332, 0.000], [0.166, 0.834, 0.500], [0.834, 0.166, 0.500], [0.500, 0.500, 0.500], [0.090, 0.420, 0.260], [0.250, 0.250, 0.741], [0.420, 0.090, 0.260], [0.580, 0.910, 0.740], [0.750, 0.750, 0.259], [0.910, 0.580, 0.740]]}

Record 10
{"formula": "SrNd3Sm2Se6", "functional": "GGA-PBE", "state": "relaxed", "formation_energy_uncorrected_ev_per_atom": -1.8490, "sg": "C2/m", "energy_ev_per_atom": -5.7099, "cell": [[3.660, -6.349, 0.000], [3.660, 6.349, 0.000], [-2.437, 0.000, 6.950]], "species": ["Sr", "Nd", "Nd", "Nd", "Sm", "Sm", "Se", "Se", "Se", "Se", "Se", "Se"], "fractional_positions": [[0.000, 0.000, 0.000], [0.163, 0.837, 0.500], [0.500, 0.500, 0.500], [0.837, 0.163, 0.500], [0.333, 0.667, 0.000], [0.667, 0.333, 0.000], [0.083, 0.422, 0.250], [0.257, 0.257, 0.756], [0.422, 0.083, 0.250], [0.578, 0.917, 0.750], [0.743, 0.743, 0.244], [0.917, 0.578, 0.750]]}

Record 11
{"formula": "SrNd2SmSe4", "functional": "GGA-PBE", "state": "relaxed", "formation_energy_uncorrected_ev_per_atom": -1.8628, "sg": "P2/m", "energy_ev_per_atom": -5.5971, "cell": [[7.381, 0.000, 0.000], [0.000, 4.231, 0.000], [-2.414, 0.000, 6.990]], "species": ["Sr", "Nd", "Nd", "Sm", "Se", "Se", "Se", "Se"], "fractional_positions": [[0.000, 0.000, 0.000], [0.000, 0.500, 0.500], [0.500, 0.000, 0.500], [0.500, 0.500, 0.000], [0.255, 0.000, 0.752], [0.256, 0.500, 0.252], [0.744, 0.500, 0.748], [0.745, 0.000, 0.248]]}

Record 12
{"formula": "SrNd2Sm3Se6", "functional": "GGA-PBE", "state": "relaxed", "formation_energy_uncorrected_ev_per_atom": -1.8547, "sg": "C2/m", "energy_ev_per_atom": -5.7115, "cell": [[9.225, -2.104, 0.000], [9.225, 2.104, 0.000], [-1.989, 0.000, 8.281]], "species": ["Sr", "Nd", "Nd", "Sm", "Sm", "Sm", "Se", "Se", "Se", "Se", "Se", "Se"], "fractional_positions": [[0.000, 0.000, 0.000], [0.329, 0.329, 0.658], [0.671, 0.671, 0.342], [0.000, 0.000, 0.500], [0.333, 0.333, 0.174], [0.667, 0.667, 0.826], [0.163, 0.163, 0.585], [0.169, 0.169, 0.080], [0.500, 0.500, 0.257], [0.500, 0.500, 0.743], [0.831, 0.831, 0.920], [0.837, 0.837, 0.415]]}